# 1
A relaxed structure of Mg2MnZn. Source: Alexandria, functional GGA-PBEsol.

As for the crystal system: tetragonal. As for the space group: No. 119. The electronic total energy comes out at -14.053 eV per cell. The calculation puts the spin magnetization at 3.554 μB per formula unit. The formation energy comes out at 0.181 eV/atom.

Cell: 4.5579 4.5579 4.5298 Å, 120.21 120.21 90.00°
Fractional positions:
Mg (0.0000, 0.0000, 0.0000)
Mg (0.7500, 0.2500, 0.5000)
Mn (0.5000, 0.5000, 0.0000)
Zn (0.2500, 0.7500, 0.5000)


# 2
A relaxed structure of Mg2MnZn. Source: Alexandria, functional GGA-PBEsol.

As for the crystal system: orthorhombic. As for the space group: No. 71. The electronic total energy comes out at -13.796 eV per cell. The calculation puts the spin magnetization at 3.398 μB per formula unit. The formation energy comes out at 0.245 eV/atom.

Cell: 3.4000 4.4507 5.2589 Å, 115.03 108.86 90.00°
Fractional positions:
Zn (0.0000, 0.5000, 0.0000)
Mn (0.5000, 0.0000, 0.0000)
Mg (0.7456, 0.7456, 0.4912)
Mg (0.2544, 0.2544, 0.5088)